# 1
Here is Na2Co2Pd after structural relaxation from Alexandria via LeMat-Bulk. Energies are from PBE.

Geometry as CIF:
```
data_Na2Co2Pd
_space_group_name_H-M_alt 'P 1'
_space_group_IT_number 1
_cell_length_a 3.643
_cell_length_b 3.643
_cell_length_c 7.155
_cell_angle_alpha 75.25
_cell_angle_beta 75.25
_cell_angle_gamma 90.00
loop_
_space_group_symop_operation_xyz
'x,y,z'
loop_
_atom_site_label
_atom_site_type_symbol
_atom_site_fract_x
_atom_site_fract_y
_atom_site_fract_z
Pd1 Pd 0.000 0.000 0.000
Co1 Co 0.577 0.577 0.846
Co2 Co 0.423 0.423 0.154
Na1 Na 0.750 0.250 0.500
Na2 Na 0.250 0.750 0.500
```

- DOS(E_F) (states/eV per atom) = 1.23
- size of the total moment (μB per formula unit) = 3.76
- crystal system = tetragonal
- calculated volume (Å³/atom) = 17.722
- formation energy from the elements (meV per atom) = 842.3
- electronic total energy (eV/atom) = -3.566
- distance to the lowest polymorph of the same formula (meV/atom) = 393



# 2
Here is Li2CoRu after structural relaxation from Alexandria via LeMat-Bulk. Energies are from PBE.

Geometry as CIF:
```
data_Li2CoRu
_space_group_name_H-M_alt 'P 1'
_space_group_IT_number 1
_cell_length_a 5.177
_cell_length_b 5.177
_cell_length_c 5.177
_cell_angle_alpha 151.34
_cell_angle_beta 129.96
_cell_angle_gamma 58.68
loop_
_space_group_symop_operation_xyz
'x,y,z'
loop_
_atom_site_label
_atom_site_type_symbol
_atom_site_fract_x
_atom_site_fract_y
_atom_site_fract_z
Ru1 Ru 0.750 0.250 0.500
Li1 Li 0.490 0.490 0.000
Li2 Li 0.010 0.010 0.000
Co1 Co 0.250 0.750 0.500
```

- DOS(E_F) (states/eV per atom) = 0.63
- size of the total moment (μB per formula unit) = 1.66
- crystal system = orthorhombic
- calculated volume (Å³/atom) = 12.661
- formation energy from the elements (meV per atom) = 141.1
- electronic total energy (eV/atom) = -4.911
- distance to the lowest polymorph of the same formula (meV/atom) = 18



# 3
Here is LiLaInHg2 after structural relaxation from Alexandria via LeMat-Bulk. Energies are from PBE.

Geometry as CIF:
```
data_LiLaInHg2
_space_group_name_H-M_alt 'P 1'
_space_group_IT_number 1
_cell_length_a 4.947
_cell_length_b 4.947
_cell_length_c 5.059
_cell_angle_alpha 90.00
_cell_angle_beta 90.00
_cell_angle_gamma 90.00
loop_
_space_group_symop_operation_xyz
'x,y,z'
loop_
_atom_site_label
_atom_site_type_symbol
_atom_site_fract_x
_atom_site_fract_y
_atom_site_fract_z
Hg1 Hg 0.000 0.500 0.000
Hg2 Hg 0.500 0.000 0.000
Li1 Li 0.000 0.000 0.000
La1 La 0.500 0.500 0.500
In1 In 0.000 0.000 0.500
```

- DOS(E_F) (states/eV per atom) = 0.49
- size of the total moment (μB per formula unit) = 0.00
- crystal system = tetragonal
- calculated volume (Å³/atom) = 24.759
- formation energy from the elements (meV per atom) = -290.7
- electronic total energy (eV/atom) = -2.327



# 4
Here is NbCdGe2O8 after structural relaxation from Alexandria via LeMat-Bulk. Energies are from PBE.

Geometry as CIF:
```
data_NbCdGe2O8
_space_group_name_H-M_alt 'P 1'
_space_group_IT_number 1
_cell_length_a 5.745
_cell_length_b 5.745
_cell_length_c 5.745
_cell_angle_alpha 108.16
_cell_angle_beta 108.16
_cell_angle_gamma 112.13
loop_
_space_group_symop_operation_xyz
'x,y,z'
loop_
_atom_site_label
_atom_site_type_symbol
_atom_site_fract_x
_atom_site_fract_y
_atom_site_fract_z
O1 O 0.881 0.704 0.176
O2 O 0.927 0.629 0.703
O3 O 0.927 0.224 0.297
O4 O 0.776 0.073 0.703
O5 O 0.528 0.704 0.824
O6 O 0.296 0.472 0.176
O7 O 0.371 0.073 0.297
O8 O 0.296 0.119 0.824
Ge1 Ge 0.750 0.250 0.500
Ge2 Ge 0.500 0.500 0.000
Cd1 Cd 0.250 0.750 0.500
Nb1 Nb 0.000 0.000 0.000
```

- DOS(E_F) (states/eV per atom) = 0.72
- size of the total moment (μB per formula unit) = 0.00
- crystal system = tetragonal
- formation energy from raw total energies (meV/atom) = -1556
- calculated volume (Å³/atom) = 12.143
- electronic total energy (eV/atom) = -6.547



# 5
Here is YMnB2Br after structural relaxation from Alexandria via LeMat-Bulk. Energies are from PBE.

Geometry as CIF:
```
data_YMnB2Br
_space_group_name_H-M_alt 'P 1'
_space_group_IT_number 1
_cell_length_a 4.782
_cell_length_b 5.170
_cell_length_c 4.782
_cell_angle_alpha 90.00
_cell_angle_beta 90.00
_cell_angle_gamma 90.00
loop_
_space_group_symop_operation_xyz
'x,y,z'
loop_
_atom_site_label
_atom_site_type_symbol
_atom_site_fract_x
_atom_site_fract_y
_atom_site_fract_z
Mn1 Mn 0.000 0.500 0.000
Br1 Br 0.500 0.500 0.500
Y1 Y 0.000 0.000 0.000
B1 B 0.500 0.000 0.000
B2 B 0.000 0.000 0.500
```

- DOS(E_F) (states/eV per atom) = 1.08
- size of the total moment (μB per formula unit) = 0.05
- crystal system = tetragonal
- formation energy from raw total energies (meV/atom) = 2242
- calculated volume (Å³/atom) = 23.644
- electronic total energy (eV/atom) = -3.890



# 6
Here is Rb2TaNF6 after structural relaxation from Alexandria via LeMat-Bulk. Energies are from PBE.

Geometry as CIF:
```
data_Rb2TaNF6
_space_group_name_H-M_alt 'P 1'
_space_group_IT_number 1
_cell_length_a 6.875
_cell_length_b 6.875
_cell_length_c 6.728
_cell_angle_alpha 59.27
_cell_angle_beta 59.27
_cell_angle_gamma 90.00
loop_
_space_group_symop_operation_xyz
'x,y,z'
loop_
_atom_site_label
_atom_site_type_symbol
_atom_site_fract_x
_atom_site_fract_y
_atom_site_fract_z
F1 F 0.208 0.208 0.584
F2 F 0.204 0.204 0.000
F3 F 0.796 0.796 0.000
F4 F 0.204 0.796 0.000
F5 F 0.796 0.204 0.000
F6 F 0.792 0.792 0.416
N1 N 0.500 0.500 0.000
Rb1 Rb 0.250 0.750 0.500
Rb2 Rb 0.750 0.250 0.500
Ta1 Ta 0.000 0.000 0.000
```

- DOS(E_F) (states/eV per atom) = 0.80
- size of the total moment (μB per formula unit) = 3.07
- crystal system = tetragonal
- formation energy from raw total energies (meV/atom) = -2143
- calculated volume (Å³/atom) = 21.984
- electronic total energy (eV/atom) = -5.477



# 7
Here is CsMgPd2 after structural relaxation from Alexandria via LeMat-Bulk. Energies are from PBE.

Geometry as CIF:
```
data_CsMgPd2
_space_group_name_H-M_alt 'P 1'
_space_group_IT_number 1
_cell_length_a 5.428
_cell_length_b 5.428
_cell_length_c 9.528
_cell_angle_alpha 73.45
_cell_angle_beta 73.45
_cell_angle_gamma 90.00
loop_
_space_group_symop_operation_xyz
'x,y,z'
loop_
_atom_site_label
_atom_site_type_symbol
_atom_site_fract_x
_atom_site_fract_y
_atom_site_fract_z
Pd1 Pd 0.413 0.625 0.250
Pd2 Pd 0.875 0.587 0.750
Pd3 Pd 0.375 0.663 0.750
Pd4 Pd 0.337 0.125 0.250
Mg1 Mg 0.250 0.750 0.500
Mg2 Mg 0.500 0.500 0.000
Cs1 Cs 0.000 0.000 0.000
Cs2 Cs 0.750 0.250 0.500
```

- DOS(E_F) (states/eV per atom) = 0.23
- size of the total moment (μB per formula unit) = 0.00
- crystal system = tetragonal
- calculated volume (Å³/atom) = 32.120
- formation energy from the elements (meV per atom) = 24.0
- electronic total energy (eV/atom) = -3.184



# 8
Here is Ba2Li3N2 after structural relaxation from Alexandria via LeMat-Bulk. Energies are from PBE.

Geometry as CIF:
```
data_Ba2Li3N2
_space_group_name_H-M_alt 'P 1'
_space_group_IT_number 1
_cell_length_a 4.046
_cell_length_b 6.260
_cell_length_c 6.068
_cell_angle_alpha 115.25
_cell_angle_beta 90.00
_cell_angle_gamma 108.85
loop_
_space_group_symop_operation_xyz
'x,y,z'
loop_
_atom_site_label
_atom_site_type_symbol
_atom_site_fract_x
_atom_site_fract_y
_atom_site_fract_z
Li1 Li 0.308 0.615 0.574
Li2 Li 0.692 0.385 0.426
Li3 Li 0.500 0.000 0.000
N1 N 0.873 0.745 0.729
N2 N 0.127 0.255 0.271
Ba1 Ba 0.894 0.788 0.184
Ba2 Ba 0.106 0.212 0.816
```

- DOS(E_F) (states/eV per atom) = 0.20
- size of the total moment (μB per formula unit) = 0.00
- crystal system = monoclinic
- formation energy from raw total energies (meV/atom) = -96
- calculated volume (Å³/atom) = 18.546
- electronic total energy (eV/atom) = -3.844



# 9
Here is CdHgSe2 after structural relaxation from Alexandria via LeMat-Bulk. Energies are from PBE.

Geometry as CIF:
```
data_CdHgSe2
_space_group_name_H-M_alt 'P 1'
_space_group_IT_number 1
_cell_length_a 5.714
_cell_length_b 5.714
_cell_length_c 5.714
_cell_angle_alpha 142.99
_cell_angle_beta 108.82
_cell_angle_gamma 83.04
loop_
_space_group_symop_operation_xyz
'x,y,z'
loop_
_atom_site_label
_atom_site_type_symbol
_atom_site_fract_x
_atom_site_fract_y
_atom_site_fract_z
Se1 Se 0.987 0.987 0.000
Se2 Se 0.758 0.258 0.500
Cd1 Cd 0.511 0.511 0.000
Hg1 Hg 0.244 0.744 0.500
```

- DOS(E_F) (states/eV per atom) = 0.51
- size of the total moment (μB per formula unit) = 0.00
- crystal system = orthorhombic
- formation energy from raw total energies (meV/atom) = 80
- calculated volume (Å³/atom) = 25.796
- electronic total energy (eV/atom) = -1.966
- distance to the lowest polymorph of the same formula (meV/atom) = 498



# 10
Here is FePd4Pt3 after structural relaxation from Alexandria via LeMat-Bulk. Energies are from PBE.

Geometry as CIF:
```
data_FePd4Pt3
_space_group_name_H-M_alt 'P 1'
_space_group_IT_number 1
_cell_length_a 3.927
_cell_length_b 7.858
_cell_length_c 7.874
_cell_angle_alpha 90.00
_cell_angle_beta 90.00
_cell_angle_gamma 90.00
loop_
_space_group_symop_operation_xyz
'x,y,z'
loop_
_atom_site_label
_atom_site_type_symbol
_atom_site_fract_x
_atom_site_fract_y
_atom_site_fract_z
Pt1 Pt 0.064 0.382 0.500
Pt2 Pt 0.564 0.379 0.753
Pt3 Pt 0.564 0.379 0.247
Pt4 Pt 0.064 0.621 0.253
Pt5 Pt 0.064 0.621 0.747
Pt6 Pt 0.564 0.618 0.000
Pd1 Pd 0.564 0.126 0.500
Pd2 Pd 0.064 0.874 0.000
Pd3 Pd 0.064 0.870 0.500
Pd4 Pd 0.564 0.870 0.252
Pd5 Pd 0.564 0.870 0.748
Pd6 Pd 0.064 0.130 0.752
Pd7 Pd 0.564 0.130 0.000
Pd8 Pd 0.064 0.130 0.248
Fe1 Fe 0.564 0.621 0.500
Fe2 Fe 0.064 0.379 0.000
```

- DOS(E_F) (states/eV per atom) = 1.24
- size of the total moment (μB per formula unit) = 4.94
- crystal system = orthorhombic
- calculated volume (Å³/atom) = 15.184
- formation energy from the elements (meV per atom) = -106.9
- electronic total energy (eV/atom) = -6.026
- distance to the lowest polymorph of the same formula (meV/atom) = 0



# 11
Here is Rb2TlCoI6 after structural relaxation from Alexandria via LeMat-Bulk. Energies are from PBE.

Geometry as CIF:
```
data_Rb2TlCoI6
_space_group_name_H-M_alt 'P 1'
_space_group_IT_number 1
_cell_length_a 8.367
_cell_length_b 8.367
_cell_length_c 8.366
_cell_angle_alpha 60.00
_cell_angle_beta 60.00
_cell_angle_gamma 90.00
loop_
_space_group_symop_operation_xyz
'x,y,z'
loop_
_atom_site_label
_atom_site_type_symbol
_atom_site_fract_x
_atom_site_fract_y
_atom_site_fract_z
I1 I 0.277 0.723 0.000
I2 I 0.724 0.724 0.553
I3 I 0.276 0.276 0.447
I4 I 0.723 0.277 0.000
I5 I 0.277 0.277 0.000
I6 I 0.723 0.723 0.000
Tl1 Tl 0.000 0.000 0.000
Rb1 Rb 0.750 0.250 0.500
Rb2 Rb 0.250 0.750 0.500
Co1 Co 0.500 0.500 0.000
```

- DOS(E_F) (states/eV per atom) = 0.00
- size of the total moment (μB per formula unit) = 0.00
- crystal system = cubic
- formation energy from raw total energies (meV/atom) = -693
- calculated volume (Å³/atom) = 41.414
- electronic total energy (eV/atom) = -2.764



# 12
Here is LaMg6Cd after structural relaxation from Alexandria via LeMat-Bulk. Energies are from PBE.

Geometry as CIF:
```
data_LaMg6Cd
_space_group_name_H-M_alt 'P 1'
_space_group_IT_number 1
_cell_length_a 7.371
_cell_length_b 7.371
_cell_length_c 4.952
_cell_angle_alpha 90.00
_cell_angle_beta 90.00
_cell_angle_gamma 130.04
loop_
_space_group_symop_operation_xyz
'x,y,z'
loop_
_atom_site_label
_atom_site_type_symbol
_atom_site_fract_x
_atom_site_fract_y
_atom_site_fract_z
Mg1 Mg 0.209 0.791 0.500
Mg2 Mg 0.634 0.366 0.500
Mg3 Mg 0.307 0.175 0.000
Mg4 Mg 0.171 0.317 0.500
Mg5 Mg 0.825 0.693 0.000
Mg6 Mg 0.683 0.829 0.500
La1 La 0.799 0.201 0.000
Cd1 Cd 0.373 0.627 0.000
```

- DOS(E_F) (states/eV per atom) = 0.53
- size of the total moment (μB per formula unit) = 0.00
- crystal system = orthorhombic
- calculated volume (Å³/atom) = 25.752
- formation energy from the elements (meV per atom) = -36.2
- electronic total energy (eV/atom) = -1.962